(1)
# PBE K3LaN, optimized geometry
# Raw formation energy   1716 meV/atom
# Crystal system   cubic
# Polymorph energy (0 for the lowest one)   809 meV/atom
data_K3LaN
_space_group_name_H-M_alt 'P m -3 m'
_space_group_IT_number 221
_space_group_name_Hall '-P 4 2 3'
_cell_length_a 7.440
_cell_length_b 7.440
_cell_length_c 7.440
_cell_angle_alpha 90.00
_cell_angle_beta 90.00
_cell_angle_gamma 90.00
loop_
_atom_site_label
_atom_site_type_symbol
_atom_site_fract_x
_atom_site_fract_y
_atom_site_fract_z
_atom_site_occupancy
K1 K 0.000 0.000 0.500 1
La1 La 0.000 0.000 0.000 1
N1 N 0.500 0.500 0.500 1



(2)
# PBE CaB2N2, optimized geometry
# Raw formation energy   1099 meV/atom
# Crystal system   tetragonal
# Polymorph energy (0 for the lowest one)   1691 meV/atom
data_CaB2N2
_space_group_name_H-M_alt 'P 4/m b m'
_space_group_IT_number 127
_space_group_name_Hall '-P 4 2ab'
_cell_length_a 6.141
_cell_length_b 6.141
_cell_length_c 2.592
_cell_angle_alpha 90.00
_cell_angle_beta 90.00
_cell_angle_gamma 90.00
loop_
_atom_site_label
_atom_site_type_symbol
_atom_site_fract_x
_atom_site_fract_y
_atom_site_fract_z
_atom_site_occupancy
Ca1 Ca 0.000 0.000 0.000 1
B1 B 0.094 0.406 0.500 1
N1 N 0.121 0.621 0.000 1